## CdCo3Br (SCAN)

Data for a PBEsol-optimized structure of CdCo3Br.

The structure in POSCAR format:
```
CdCo3Br
1.0
4.719 0.000 0.000
0.000 4.719 0.000
0.000 0.000 4.719
Cd Co Br
1 3 1
Direct
0.000 0.000 0.000
0.000 0.000 0.500
0.000 0.500 0.000
0.500 0.000 0.000
0.500 0.500 0.500
```

Computed properties:
Mass density, Mg/m³: 5.8
ΔE to the lowest computed polymorph, eV/f.u.: 0.723
Total energy, eV/atom: -19.101


## CdCoBr (SCAN)

Data for a PBEsol-optimized structure of CdCoBr.

The structure in POSCAR format:
```
CdCoBr
1.0
0.000 3.076 3.076
3.076 0.000 3.076
3.076 3.076 0.000
Cd Co Br
1 1 1
Direct
0.000 0.000 0.000
0.750 0.750 0.750
0.500 0.500 0.500
```

Computed properties:
Mass density, Mg/m³: 7.2
Total energy, eV/atom: -21.738


## CdCo3Br (SCAN)

Data for a PBEsol-optimized structure of CdCo3Br.

The structure in POSCAR format:
```
CdCo3Br
1.0
4.269 0.000 0.000
0.000 4.269 0.000
0.000 0.000 4.269
Cd Co Br
1 3 1
Direct
0.000 0.000 0.000
0.000 0.500 0.500
0.500 0.000 0.500
0.500 0.500 0.000
0.500 0.500 0.500
```

Computed properties:
Mass density, Mg/m³: 7.9
ΔE to the lowest computed polymorph, eV/f.u.: 0.000
Total energy, eV/atom: -19.246


## CdCo2PBr (SCAN)

Data for a PBEsol-optimized structure of CdCo2PBr.

The structure in POSCAR format:
```
CdCo2PBr
1.0
4.284 0.000 0.000
0.000 4.284 0.000
0.000 0.000 5.134
Cd Co P Br
1 2 1 1
Direct
0.000 0.000 0.000
0.000 0.500 0.500
0.500 0.000 0.500
0.000 0.000 0.500
0.500 0.500 0.000
```

Computed properties:
Mass density, Mg/m³: 6.0
ΔE to the lowest computed polymorph, eV/f.u.: 0.000
Total energy, eV/atom: -18.747


## CdCo2PBr (SCAN)

Data for a PBEsol-optimized structure of CdCo2PBr.

The structure in POSCAR format:
```
CdCo2PBr
1.0
4.097 0.000 0.000
0.000 4.097 0.000
0.000 0.000 5.601
Cd Co P Br
1 2 1 1
Direct
0.000 0.000 0.000
0.000 0.500 0.500
0.500 0.000 0.500
0.500 0.500 0.500
0.500 0.500 0.000
```

Computed properties:
Mass density, Mg/m³: 6.0
ΔE to the lowest computed polymorph, eV/f.u.: 1.226
Total energy, eV/atom: -18.502


## CrCd3Br (SCAN)

Data for a PBEsol-optimized structure of CrCd3Br.

The structure in POSCAR format:
```
CrCd3Br
1.0
5.291 0.000 0.000
0.000 5.291 0.000
0.000 0.000 5.291
Cr Cd Br
1 3 1
Direct
0.000 0.000 0.000
0.000 0.000 0.500
0.000 0.500 0.000
0.500 0.000 0.000
0.500 0.500 0.500
```

Computed properties:
Mass density, Mg/m³: 5.3
Total energy, eV/atom: -25.559